1.
{
  "formula": "SrHgAu2",
  "functional": "PBE-GGA",
  "state": "relaxed",
  "formation_energy_mev_per_atom": -438,
  "dos_ef_per_ev_fu": 0.74,
  "sg": "No. 47",
  "lattice": [[3.851, 0.000, 0.000], [0.000, 3.787, 0.013], [0.000, 3.764, 6.795]],
  "species": ["Au", "Au", "Hg", "Sr"],
  "frac_coords": [[0.000, 0.975, 0.025], [0.000, 0.525, 0.475], [0.500, 0.250, 0.250], [0.500, 0.750, 0.750]]
}

2.
{
  "formula": "Sr5Hg2Au2",
  "functional": "PBE-GGA",
  "state": "relaxed",
  "formation_energy_mev_per_atom": -589,
  "dos_ef_per_ev_fu": 6.25,
  "sg": "No. 64",
  "lattice": [[-2.968, -3.588, 7.061], [6.126, -5.952, -0.450], [3.625, 3.113, 8.171]],
  "species": ["Sr", "Sr", "Sr", "Sr", "Sr", "Sr", "Sr", "Sr", "Sr", "Sr", "Hg", "Hg", "Hg", "Hg", "Au", "Au", "Au", "Au"],
  "frac_coords": [[0.000, 0.000, 0.000], [0.500, 0.500, 0.000], [0.462, 0.168, 0.735], [0.803, 0.832, 0.735], [0.303, 0.668, 0.735], [0.962, 0.332, 0.735], [0.538, 0.832, 0.265], [0.197, 0.168, 0.265], [0.697, 0.332, 0.265], [0.038, 0.668, 0.265], [0.206, 0.000, 0.588], [0.706, 0.500, 0.588], [0.794, 0.000, 0.412], [0.294, 0.500, 0.412], [0.124, 0.374, 0.000], [0.876, 0.626, 0.000], [0.376, 0.874, 0.000], [0.624, 0.126, 0.000]]
}

3.
{
  "formula": "Sr2HgAu3",
  "functional": "PBE-GGA",
  "state": "relaxed",
  "formation_energy_mev_per_atom": -665,
  "dos_ef_per_ev_fu": 3.12,
  "sg": "No. 69",
  "lattice": [[6.242, -0.524, 0.000], [-0.766, 6.217, 0.000], [-2.738, -2.846, 8.452]],
  "species": ["Sr", "Sr", "Sr", "Sr", "Hg", "Hg", "Au", "Au", "Au", "Au", "Au", "Au"],
  "frac_coords": [[0.250, 0.750, 0.500], [0.753, 0.753, 0.000], [0.750, 0.250, 0.500], [0.247, 0.247, 0.000], [0.666, 0.666, 0.333], [0.334, 0.334, 0.667], [0.331, 0.835, 0.165], [0.165, 0.669, 0.835], [0.669, 0.165, 0.835], [0.835, 0.331, 0.165], [0.166, 0.166, 0.332], [0.834, 0.834, 0.668]]
}

4.
{
  "formula": "Sr3HgAu3",
  "functional": "PBE-GGA",
  "state": "relaxed",
  "formation_energy_mev_per_atom": -576,
  "de_polymorph_ev_per_fu": 0.83,
  "dos_ef_per_ev_fu": 4.04,
  "sg": "No. 176",
  "lattice": [[-5.184, 2.616, -2.472], [-3.769, 0.706, 8.651], [5.229, 7.079, -3.475]],
  "species": ["Sr", "Sr", "Sr", "Sr", "Sr", "Sr", "Hg", "Hg", "Au", "Au", "Au", "Au", "Au", "Au"],
  "frac_coords": [[0.750, 0.689, 0.645], [0.750, 0.355, 0.044], [0.750, 0.956, 0.311], [0.250, 0.311, 0.355], [0.250, 0.645, 0.956], [0.250, 0.044, 0.689], [0.250, 0.667, 0.333], [0.750, 0.333, 0.667], [0.250, 0.682, 0.645], [0.250, 0.355, 0.036], [0.250, 0.964, 0.318], [0.750, 0.318, 0.355], [0.750, 0.645, 0.964], [0.750, 0.036, 0.682]]
}

5.
{
  "formula": "Sr4Hg2Au",
  "functional": "PBE-GGA",
  "state": "relaxed",
  "formation_energy_mev_per_atom": -391,
  "de_polymorph_ev_per_fu": 0.66,
  "dos_ef_per_ev_fu": 7.10,
  "sg": "No. 139",
  "lattice": [[6.019, 0.000, 0.000], [0.000, 6.019, 0.000], [-3.009, -3.009, 8.056]],
  "species": ["Sr", "Sr", "Sr", "Sr", "Au", "Hg", "Hg"],
  "frac_coords": [[0.804, 0.804, 0.609], [0.196, 0.196, 0.391], [0.000, 0.500, 0.000], [0.500, 0.000, 0.000], [0.000, 0.000, 0.000], [0.601, 0.601, 0.201], [0.399, 0.399, 0.799]]
}

6.
{
  "formula": "Sr2Hg3Au2",
  "functional": "PBE-GGA",
  "state": "relaxed",
  "formation_energy_mev_per_atom": -525,
  "de_polymorph_ev_per_fu": 0.06,
  "dos_ef_per_ev_fu": 3.27,
  "sg": "No. 12",
  "lattice": [[-0.631, 3.714, 2.490], [-3.775, -0.220, -4.723], [-4.562, -3.889, 4.646]],
  "species": ["Sr", "Sr", "Hg", "Hg", "Hg", "Au", "Au"],
  "frac_coords": [[0.619, 0.238, 0.324], [0.381, 0.762, 0.676], [0.305, 0.610, 0.143], [0.000, 0.000, 0.000], [0.695, 0.390, 0.857], [0.094, 0.189, 0.636], [0.906, 0.811, 0.364]]
}

7.
{
  "formula": "SrHgAu2",
  "functional": "PBE-GGA",
  "state": "relaxed",
  "formation_energy_mev_per_atom": -467,
  "dos_ef_per_ev_fu": 1.31,
  "sg": "No. 6",
  "lattice": [[4.535, 0.000, 0.000], [0.000, 4.164, 0.047], [0.000, 2.022, 5.553]],
  "species": ["Sr", "Au", "Au", "Hg"],
  "frac_coords": [[0.500, 0.776, 0.823], [0.000, 0.198, 0.976], [0.500, 0.054, 0.273], [0.000, 0.472, 0.428]]
}

8.
{
  "formula": "Sr4Hg2Au",
  "functional": "PBE-GGA",
  "state": "relaxed",
  "formation_energy_mev_per_atom": -485,
  "de_polymorph_ev_per_fu": 0.00,
  "dos_ef_per_ev_fu": 5.18,
  "sg": "No. 166",
  "lattice": [[5.336, 0.000, 1.667], [2.408, 4.762, 1.667], [-0.101, -0.062, 9.697]],
  "species": ["Sr", "Sr", "Sr", "Sr", "Hg", "Hg", "Au"],
  "frac_coords": [[0.878, 0.878, 0.365], [0.122, 0.122, 0.635], [0.629, 0.629, 0.114], [0.371, 0.371, 0.886], [0.754, 0.754, 0.737], [0.246, 0.246, 0.263], [0.000, 0.000, 0.000]]
}

9.
{
  "formula": "SrHgAu6",
  "functional": "PBE-GGA",
  "state": "relaxed",
  "formation_energy_mev_per_atom": -131,
  "dos_ef_per_ev_fu": 2.90,
  "sg": "No. 200",
  "lattice": [[5.536, 0.000, 0.000], [0.000, 5.536, 0.000], [0.000, 0.000, 5.536]],
  "species": ["Sr", "Hg", "Au", "Au", "Au", "Au", "Au", "Au"],
  "frac_coords": [[0.500, 0.500, 0.500], [0.000, 0.000, 0.000], [0.500, 0.752, 0.000], [0.752, 0.000, 0.500], [0.000, 0.500, 0.248], [0.248, 0.000, 0.500], [0.500, 0.248, 0.000], [0.000, 0.500, 0.752]]
}

10.
{
  "formula": "SrHg5Au",
  "functional": "PBE-GGA",
  "state": "relaxed",
  "formation_energy_mev_per_atom": -271,
  "dos_ef_per_ev_fu": 3.13,
  "sg": "No. 123",
  "lattice": [[5.027, 0.000, 0.000], [0.000, 5.027, 0.000], [0.000, 0.000, 7.585]],
  "species": ["Sr", "Hg", "Hg", "Hg", "Hg", "Hg", "Au"],
  "frac_coords": [[0.000, 0.000, 0.000], [0.500, 0.000, 0.706], [0.000, 0.500, 0.706], [0.500, 0.500, 0.000], [0.000, 0.500, 0.294], [0.500, 0.000, 0.294], [0.000, 0.000, 0.500]]
}

11.
{
  "formula": "Sr3Hg2Au",
  "functional": "PBE-GGA",
  "state": "relaxed",
  "formation_energy_mev_per_atom": -598,
  "de_polymorph_ev_per_fu": 0.00,
  "dos_ef_per_ev_fu": 2.96,
  "sg": "No. 123",
  "lattice": [[3.915, 0.000, 0.000], [0.000, 3.915, 0.000], [0.000, 0.000, 12.046]],
  "species": ["Sr", "Sr", "Sr", "Hg", "Hg", "Au"],
  "frac_coords": [[0.000, 0.000, 0.000], [0.000, 0.000, 0.657], [0.000, 0.000, 0.343], [0.500, 0.500, 0.830], [0.500, 0.500, 0.170], [0.500, 0.500, 0.500]]
}

12.
{
  "formula": "Sr5HgAu2",
  "functional": "PBE-GGA",
  "state": "relaxed",
  "formation_energy_mev_per_atom": -583,
  "dos_ef_per_ev_fu": 4.55,
  "sg": "No. 140",
  "lattice": [[7.680, 0.000, -3.626], [-1.711, 7.487, -3.626], [-0.042, -0.052, 9.859]],
  "species": ["Sr", "Sr", "Sr", "Sr", "Sr", "Sr", "Sr", "Sr", "Sr", "Sr", "Hg", "Hg", "Au", "Au", "Au", "Au"],
  "frac_coords": [[0.526, 0.693, 0.720], [0.807, 0.974, 0.280], [0.000, 0.000, 0.000], [0.500, 0.500, 0.000], [0.193, 0.026, 0.720], [0.693, 0.193, 0.720], [0.026, 0.526, 0.720], [0.307, 0.807, 0.280], [0.974, 0.474, 0.280], [0.474, 0.307, 0.280], [0.750, 0.750, 0.500], [0.250, 0.250, 0.500], [0.129, 0.371, 0.000], [0.629, 0.129, 0.000], [0.371, 0.871, 0.000], [0.871, 0.629, 0.000]]
}